Cs3Hg8Pb3: optimized geometry, GGA-PBE.

## Properties
* DFT formation energy: -0.158 eV/atom
* final energy: -1.31 eV/atom
* V: 36.36 A^3/atom

a b c (Å): 5.141 10.041 11.548
angles (deg): 62.89 77.14 75.17
Atoms (fractional coordinates):
Cs (0.312, 0.742, 0.633)
Cs (0.688, 0.258, 0.367)
Cs (0.000, 0.000, 0.000)
Hg (0.113, 0.138, 0.636)
Hg (0.887, 0.862, 0.364)
Hg (0.879, 0.434, 0.809)
Hg (0.121, 0.566, 0.191)
Hg (0.510, 0.680, 0.301)
Hg (0.490, 0.320, 0.699)
Hg (0.354, 0.050, 0.242)
Hg (0.646, 0.950, 0.758)
Pb (0.000, 0.500, 0.500)
Pb (0.698, 0.616, 0.987)
Pb (0.302, 0.384, 0.013)

=====

CsHgPb: optimized geometry, GGA-PBE.

## Properties
* DFT formation energy: -0.161 eV/atom
* final energy: -1.78 eV/atom
* E above lowest polymorph: 0.15 eV/f.u.
* V: 45.55 A^3/atom

a b c (Å): 5.257 8.189 6.966
angles (deg): 99.47 112.17 90.00
Atoms (fractional coordinates):
Cs (0.608, 0.537, 0.217)
Cs (0.381, 0.903, 0.762)
Hg (0.686, 0.026, 0.372)
Hg (0.896, 0.285, 0.793)
Pb (0.305, 0.395, 0.609)
Pb (0.103, 0.130, 0.205)

=====

Cs3Hg4Pb: optimized geometry, GGA-PBE.

## Properties
* DFT formation energy: -0.183 eV/atom
* final energy: -1.12 eV/atom
* V: 51.31 A^3/atom

a b c (Å): 6.180 8.085 9.663
angles (deg): 114.73 108.65 90.00
Atoms (fractional coordinates):
Cs (0.170, 0.170, 0.340)
Cs (0.830, 0.830, 0.660)
Cs (0.000, 0.500, 0.000)
Pb (0.500, 0.000, 0.000)
Hg (0.391, 0.581, 0.782)
Hg (0.609, 0.419, 0.218)
Hg (0.609, 0.799, 0.218)
Hg (0.391, 0.201, 0.782)